# K7Rb3 PBE relaxed
# ΔE_f = 0.04 eV/atom
# ΔE to the lowest computed polymorph = 0.89 kcal/mol of atoms
# Fermi-level density of states = 0.80 states/eV/atom
data_K7Rb3
_chemical_formula_sum 'K14 Rb6'
_space_group_name_H-M_alt 'P 63 m c'
_space_group_IT_number 186
_space_group_name_Hall 'P 6c -2c'
_cell_length_a 14.6757
_cell_length_b 14.6757
_cell_length_c 8.5512
_cell_angle_alpha 90.00
_cell_angle_beta 90.00
_cell_angle_gamma 120.00
loop_
_atom_site_label
_atom_site_type_symbol
_atom_site_fract_x
_atom_site_fract_y
_atom_site_fract_z
K1 K 0.0541 0.5271 0.0000
K2 K 0.1152 0.2304 0.8302
K3 K 0.3333 0.6667 0.7310
Rb1 Rb 0.2098 0.4196 0.3481



# GaHPb2 PBE relaxed
# ΔE to the lowest computed polymorph = 0.34 kcal/mol of atoms
# Fermi-level density of states = 0.21 states/eV/atom
data_GaHPb2
_chemical_formula_sum 'Ga4 H4 Pb8'
_space_group_name_H-M_alt 'F m -3 m'
_space_group_IT_number 225
_space_group_name_Hall '-F 4 2 3'
_cell_length_a 7.0452
_cell_length_b 7.0452
_cell_length_c 7.0452
_cell_angle_alpha 90.00
_cell_angle_beta 90.00
_cell_angle_gamma 90.00
loop_
_atom_site_label
_atom_site_type_symbol
_atom_site_fract_x
_atom_site_fract_y
_atom_site_fract_z
Ga1 Ga 0.0000 0.0000 0.0000
H1 H 0.0000 0.0000 0.5000
Pb1 Pb 0.2500 0.2500 0.2500



# Pm2Pt3 PBE relaxed
# ΔE_f = -1.08 eV/atom
# ΔE to the lowest computed polymorph = 0.00 kcal/mol of atoms
# Fermi-level density of states = 0.35 states/eV/atom
data_Pm2Pt3
_chemical_formula_sum 'Pm8 Pt12'
_space_group_name_H-M_alt 'C m c e'
_space_group_IT_number 64
_space_group_name_Hall '-C 2ac 2'
_cell_length_a 5.5821
_cell_length_b 9.3152
_cell_length_c 8.4504
_cell_angle_alpha 90.00
_cell_angle_beta 90.00
_cell_angle_gamma 90.00
loop_
_atom_site_label
_atom_site_type_symbol
_atom_site_fract_x
_atom_site_fract_y
_atom_site_fract_z
Pm1 Pm 0.0000 0.1572 0.0923
Pt1 Pt 0.0000 0.0000 0.5000
Pt2 Pt 0.2500 0.1010 0.7500



# SiRuBr PBE relaxed
# E_form (uncorrected) = 171 meV per atom
# ΔE to the lowest computed polymorph = 2.28 kcal/mol of atoms
# Fermi-level density of states = 0.50 states/eV/atom
data_SiRuBr
_chemical_formula_sum 'Si1 Ru1 Br1'
_space_group_name_H-M_alt 'P 3 m 1'
_space_group_IT_number 156
_cell_length_a 3.2850
_cell_length_b 3.2850
_cell_length_c 5.6971
_cell_angle_alpha 90.00
_cell_angle_beta 90.00
_cell_angle_gamma 120.00
loop_
_space_group_symop_operation_xyz
'x,y,z'
'-y,x-y,z'
'-x+y,-x,z'
'-y,-x,z'
'-x+y,y,z'
'x,x-y,z'
loop_
_atom_site_label
_atom_site_type_symbol
_atom_site_fract_x
_atom_site_fract_y
_atom_site_fract_z
Si1 Si 0.0000 0.0000 0.0000
Ru1 Ru 0.3333 0.6667 0.7625
Br1 Br 0.6667 0.3333 0.3752



# InTcGe2 PBE relaxed
# ΔE_f = 0.06 eV/atom
# Fermi-level density of states = 0.46 states/eV/atom
data_InTcGe2
_chemical_formula_sum 'In1 Tc1 Ge2'
_space_group_name_H-M_alt 'P 4/m m m'
_space_group_IT_number 123
_space_group_name_Hall '-P 4 2'
_cell_length_a 3.1784
_cell_length_b 3.1784
_cell_length_c 7.5511
_cell_angle_alpha 90.00
_cell_angle_beta 90.00
_cell_angle_gamma 90.00
loop_
_atom_site_label
_atom_site_type_symbol
_atom_site_fract_x
_atom_site_fract_y
_atom_site_fract_z
In1 In 0.0000 0.0000 0.0000
Tc1 Tc 0.0000 0.0000 0.5000
Ge1 Ge 0.5000 0.5000 0.3154



# Nd2DyTm6Sc3 PBE relaxed
# ΔE_f = 0.05 eV/atom
# Fermi-level density of states = 1.49 states/eV/atom
data_Nd2DyTm6Sc3
_chemical_formula_sum 'Nd4 Dy2 Tm12 Sc6'
_space_group_name_H-M_alt 'C 1 2/m 1'
_space_group_IT_number 12
_cell_length_a 6.0305
_cell_length_b 10.4425
_cell_length_c 11.4337
_cell_angle_alpha 90.00
_cell_angle_beta 100.12
_cell_angle_gamma 90.00
loop_
_space_group_symop_operation_xyz
'x,y,z'
'-x,-y,-z'
'-x,y,-z'
'x,-y,z'
'x+1/2,y+1/2,z'
'-x+1/2,-y+1/2,-z'
'-x+1/2,y+1/2,-z'
'x+1/2,-y+1/2,z'
loop_
_atom_site_label
_atom_site_type_symbol
_atom_site_fract_x
_atom_site_fract_y
_atom_site_fract_z
Nd1 Nd 0.0000 0.1668 0.0000
Dy1 Dy 0.0000 0.5000 0.0000
Tm1 Tm 0.2464 0.1664 0.7389
Tm2 Tm 0.2456 0.5000 0.7389
Sc1 Sc 0.0000 0.0000 0.5000
Sc2 Sc 0.0000 0.3336 0.5000